Entry 1:
Compound: TaCdRh2
Source: Alexandria
Functional: PBE
Structure: relaxed

The space group is Cmmm (No. 65) and the conventional cell measures 6.054, 7.192 and 2.994 Å, with angles of 90.00, 90.00 and 90.00 degrees. The distinct sites, in fractional coordinates, are Ta at (0.000, 0.000, 0.000), Cd at (0.000, 0.500, 0.000) and Rh at (0.250, 0.250, 0.500).

For the calculated density, the calculation gives 12.7 g/cm3. The density of states at the Fermi level is 3.002 states/eV/f.u. The formation enthalpy at 0 K is -0.26 eV/atom. As for the total moment: 0.0 μB per formula unit. Its total energy is -57.00 eV per cell.

Entry 2:
Compound: TaCdRh2
Source: Alexandria
Functional: PBE
Structure: relaxed

The space group is I4/mmm (No. 139) and the conventional cell measures 4.257, 4.257 and 7.130 Å, with angles of 90.00, 90.00 and 90.00 degrees. The distinct sites, in fractional coordinates, are Ta at (0.000, 0.000, 0.000), Cd at (0.000, 0.000, 0.500) and Rh at (0.000, 0.500, 0.250).

For the calculated density, the calculation gives 12.8 g/cm3. The density of states at the Fermi level is 1.135 states/eV/f.u. The formation enthalpy at 0 K is -0.37 eV/atom. As for the total moment: 0.0 μB per formula unit. Its total energy is -57.88 eV per cell.

Entry 3:
Compound: TaCdRh2
Source: Alexandria
Functional: PBE
Structure: relaxed

The space group is F-43m (No. 216) and the conventional cell measures 6.416, 6.416 and 6.416 Å, with angles of 90.00, 90.00 and 90.00 degrees. The distinct sites, in fractional coordinates, are Ta at (0.000, 0.000, 0.000), Cd at (0.250, 0.250, 0.750), Rh at (0.000, 0.000, 0.500) and Rh at (0.250, 0.250, 0.250).

For the calculated density, the calculation gives 12.6 g/cm3. The density of states at the Fermi level is 5.355 states/eV/f.u. The formation enthalpy at 0 K is 0.14 eV/atom. As for the total moment: 0.0 μB per formula unit. Its total energy is -107.56 eV per cell.

Entry 4:
Compound: TaCd2Rh
Source: Alexandria
Functional: PBE
Structure: relaxed

The space group is Cmmm (No. 65) and the conventional cell measures 5.486, 9.117 and 2.899 Å, with angles of 90.00, 90.00 and 90.00 degrees. The distinct sites, in fractional coordinates, are Ta at (0.000, 0.000, 0.000), Cd at (0.250, 0.250, 0.500) and Rh at (0.000, 0.500, 0.000).

For the calculated density, the calculation gives 11.6 g/cm3. The density of states at the Fermi level is 3.237 states/eV/f.u. The formation enthalpy at 0 K is 0.20 eV/atom. As for the total moment: 0.0 μB per formula unit. Its total energy is -40.46 eV per cell.

Entry 5:
Compound: TaCdRh2
Source: Alexandria
Functional: PBE
Structure: relaxed

The space group is R-3m (No. 166, hexagonal axes) and the conventional cell measures 2.9468, 2.9468 and 26.8321 Å, with angles of 90.00, 90.00 and 120.00 degrees. The distinct sites, in fractional coordinates, are Ta at (0.0000, 0.0000, 0.0000), Cd at (0.0000, 0.0000, 0.5000) and Rh at (0.0000, 0.0000, 0.2559).

For the calculated density, the calculation gives 12.3 g/cm3. The density of states at the Fermi level is 3.967 states/eV/f.u. The formation enthalpy at 0 K is -0.23 eV/atom. As for the total moment: 0.0 μB per formula unit. Its total energy is -85.19 eV per cell.

Entry 6:
Compound: TaCd2Rh
Source: Alexandria
Functional: PBE
Structure: relaxed

The space group is P4/mmm (No. 123) and the conventional cell measures 2.925, 2.925 and 8.417 Å, with angles of 90.00, 90.00 and 90.00 degrees. The distinct sites, in fractional coordinates, are Ta at (0.000, 0.000, 0.000), Cd at (0.500, 0.500, 0.270) and Rh at (0.000, 0.000, 0.500).

For the calculated density, the calculation gives 11.7 g/cm3. The density of states at the Fermi level is 4.353 states/eV/f.u. The formation enthalpy at 0 K is 0.19 eV/atom. As for the total moment: 0.0 μB per formula unit. Its total energy is -20.28 eV per cell.

Entry 7:
Compound: TaCdRh2
Source: Alexandria
Functional: PBE
Structure: relaxed

The space group is P4/mmm (No. 123) and the conventional cell measures 3.160, 3.160 and 6.775 Å, with angles of 90.00, 90.00 and 90.00 degrees. The distinct sites, in fractional coordinates, are Ta at (0.000, 0.000, 0.000), Cd at (0.000, 0.000, 0.500) and Rh at (0.500, 0.500, 0.218).

For the calculated density, the calculation gives 12.3 g/cm3. The density of states at the Fermi level is 2.076 states/eV/f.u. The formation enthalpy at 0 K is -0.42 eV/atom. As for the total moment: 0.0 μB per formula unit. Its total energy is -29.14 eV per cell.

Entry 8:
Compound: TaCd2Rh
Source: Alexandria
Functional: PBE
Structure: relaxed

The space group is C2/m (No. 12) and the conventional cell measures 10.177, 2.950 and 4.931 Å, with angles of 90.00, 103.14 and 90.00 degrees. The distinct sites, in fractional coordinates, are Ta at (0.000, 0.000, 0.000), Cd at (0.241, 0.000, 0.742) and Rh at (0.000, 0.500, 0.500).

For the calculated density, the calculation gives 11.7 g/cm3. The density of states at the Fermi level is 3.155 states/eV/f.u. The formation enthalpy at 0 K is 0.13 eV/atom. As for the total moment: 0.0 μB per formula unit. Its total energy is -41.00 eV per cell.

Entry 9:
Compound: TaCdRh2
Source: Alexandria
Functional: PBE
Structure: relaxed

The space group is Pmm2 (No. 25) and the conventional cell measures 2.877, 4.197 and 5.454 Å, with angles of 90.00, 90.00 and 90.00 degrees. The distinct sites, in fractional coordinates, are Ta at (0.000, 0.000, 0.000), Cd at (0.500, 0.500, 0.309), Rh at (0.000, 0.000, 0.526) and Rh at (0.500, 0.500, 0.808).

For the calculated density, the calculation gives 12.6 g/cm3. The density of states at the Fermi level is 2.699 states/eV/f.u. The formation enthalpy at 0 K is -0.16 eV/atom. As for the total moment: 0.0 μB per formula unit. Its total energy is -28.11 eV per cell.

Entry 10:
Compound: TaCdRh2
Source: Alexandria
Functional: PBE
Structure: relaxed

The space group is P4mm (No. 99) and the conventional cell measures 3.490, 3.490 and 5.642 Å, with angles of 90.00, 90.00 and 90.00 degrees. The distinct sites, in fractional coordinates, are Ta at (0.000, 0.000, 0.000), Cd at (0.500, 0.500, 0.331), Rh at (0.000, 0.000, 0.564) and Rh at (0.500, 0.500, 0.838).

For the calculated density, the calculation gives 12.1 g/cm3. The density of states at the Fermi level is 2.364 states/eV/f.u. The formation enthalpy at 0 K is -0.11 eV/atom. As for the total moment: 0.0 μB per formula unit. Its total energy is -27.89 eV per cell.

Entry 11:
Compound: TaCdRh2
Source: Alexandria
Functional: PBE
Structure: relaxed

The space group is C2/m (No. 12) and the conventional cell measures 8.756, 3.062 and 5.200 Å, with angles of 90.00, 104.10 and 90.00 degrees. The distinct sites, in fractional coordinates, are Ta at (0.000, 0.000, 0.000), Cd at (0.000, 0.500, 0.500) and Rh at (0.237, 0.500, 0.228).

For the calculated density, the calculation gives 12.3 g/cm3. The density of states at the Fermi level is 3.521 states/eV/f.u. The formation enthalpy at 0 K is -0.13 eV/atom. As for the total moment: 0.0 μB per formula unit. Its total energy is -56.00 eV per cell.

Entry 12:
Compound: TaCd2Rh
Source: Alexandria
Functional: PBE
Structure: relaxed

The space group is Imm2 (No. 44) and the conventional cell measures 3.195, 4.930 and 9.500 Å, with angles of 90.00, 90.00 and 90.00 degrees. The distinct sites, in fractional coordinates, are Ta at (0.000, 0.000, 0.000), Cd at (0.000, 0.000, 0.542), Cd at (0.000, 0.500, 0.771) and Rh at (0.000, 0.500, 0.295).

For the calculated density, the calculation gives 11.3 g/cm3. The density of states at the Fermi level is 2.124 states/eV/f.u. The formation enthalpy at 0 K is 0.11 eV/atom. As for the total moment: 0.0 μB per formula unit. Its total energy is -41.21 eV per cell.

Entry 13:
Compound: TaCd2Rh
Source: Alexandria
Functional: PBE
Structure: relaxed

The space group is Pmmm (No. 47) and the conventional cell measures 3.083, 4.704 and 4.994 Å, with angles of 90.00, 90.00 and 90.00 degrees. The distinct sites, in fractional coordinates, are Ta at (0.000, 0.000, 0.000), Cd at (0.000, 0.500, 0.500), Cd at (0.500, 0.000, 0.500) and Rh at (0.500, 0.500, 0.000).

For the calculated density, the calculation gives 11.7 g/cm3. The density of states at the Fermi level is 2.336 states/eV/f.u. The formation enthalpy at 0 K is 0.14 eV/atom. As for the total moment: 0.0 μB per formula unit. Its total energy is -20.49 eV per cell.